Record 1
VASP calculation (PBE) on a geometry-optimized Cs3Li3Tl8 structure.

Structure (POSCAR):
```
Cs3Li3Tl8
1.0
4.9803 0.0000 1.2762
2.2310 9.8902 1.6492
0.0215 0.0995 10.2714
Cs Li Tl
3 3 8
Direct
0.5000 0.5000 0.5000
0.7925 0.2075 0.2075
0.2075 0.7925 0.7925
0.5000 0.0000 0.0000
0.0000 0.7881 0.2119
0.0000 0.2119 0.7881
0.6069 0.0931 0.6931
0.3931 0.9069 0.3069
0.6069 0.6931 0.0931
0.3931 0.3069 0.9069
0.8212 0.8546 0.5029
0.1788 0.1454 0.4971
0.8212 0.5029 0.8546
0.1788 0.4971 0.1454
```

Energy: -0.1493 Ry/atom
Space-group type: Immm (71)
ρ: 6754 kg/m³



Record 2
VASP calculation (PBE) on a geometry-optimized CsLiTl4 structure.

Structure (POSCAR):
```
CsLiTl4
1.0
5.5156 0.0000 -0.4116
0.0000 7.5217 0.0000
-2.0196 -3.7609 10.0825
Cs Li Tl
2 2 8
Direct
0.7868 0.7866 0.5732
0.2132 0.2134 0.4268
0.2630 0.4998 0.9996
0.7370 0.5002 0.0004
0.1360 0.6362 0.2724
0.4054 0.1340 0.8098
0.0000 0.1938 0.0000
0.5946 0.3242 0.1902
0.8640 0.3638 0.7276
0.5946 0.8660 0.1902
0.0000 0.8062 0.0000
0.4054 0.6758 0.8098
```

Energy: -0.1564 Ry/atom
Space-group type: Immm (71)
Energy above the most stable polymorph in this dataset: 0 meV per atom
ρ: 7717 kg/m³



Record 3
VASP calculation (PBE) on a geometry-optimized Cs5LiTl6 structure.

Structure (POSCAR):
```
Cs5LiTl6
1.0
9.1721 0.0640 1.6059
2.7497 6.6408 4.1046
0.0492 -0.9152 9.7931
Cs Tl Li
5 6 1
Direct
0.5000 0.2234 0.5531
0.0000 0.6427 0.7145
0.0000 0.3573 0.2855
0.5000 0.5000 0.0000
0.5000 0.7766 0.4469
0.6816 0.9881 0.0000
0.8221 0.9596 0.2811
0.1779 0.7592 0.2811
0.1779 0.0404 0.7189
0.8221 0.2408 0.7189
0.3184 0.0119 0.0000
0.0000 0.0000 0.0000
```

Energy: -0.1293 Ry/atom
Space-group type: C2/m (12)
ρ: 5045 kg/m³



Record 4
VASP calculation (PBE) on a geometry-optimized Cs2LiTl4 structure.

Structure (POSCAR):
```
Cs2LiTl4
1.0
-3.5905 -3.5882 -0.2250
5.4365 -5.4592 0.3067
-5.1447 4.6534 7.8868
Cs Li Tl
2 1 4
Direct
0.5000 0.1375 0.2821
0.5000 0.8625 0.7179
0.0000 0.5000 0.0000
0.5000 0.5216 0.1547
0.0000 0.7411 0.3704
0.5000 0.4784 0.8453
0.0000 0.2589 0.6296
```

Energy: -0.1424 Ry/atom
Space-group type: P2/m (10)
Energy above the most stable polymorph in this dataset: 0 meV per atom
ρ: 5660 kg/m³



Record 5
VASP calculation (PBE) on a geometry-optimized CsLiTl3 structure.

Structure (POSCAR):
```
CsLiTl3
1.0
-4.4856 -4.6628 1.5981
2.8714 -0.7156 5.9716
-4.0064 4.7077 2.4906
Cs Tl Li
1 3 1
Direct
0.0000 0.0000 0.0000
0.0000 0.5000 0.0000
0.0000 0.0000 0.5000
0.5000 0.0000 0.0000
0.5000 0.5000 0.5000
```

Energy: -0.0894 Ry/atom
Space-group type: Pm-3m (221)
Energy above the most stable polymorph in this dataset: 897 meV per atom
ρ: 4224 kg/m³



Record 6
VASP calculation (PBE) on a geometry-optimized Cs5LiTl4 structure.

Structure (POSCAR):
```
Cs5LiTl4
1.0
0.3600 -5.1595 0.4674
5.8908 1.1379 8.0248
-12.0336 2.0247 2.7695
Cs Li Tl
5 1 4
Direct
0.1411 0.2846 0.2823
0.1990 0.7993 0.3981
0.8010 0.2007 0.6019
0.5000 0.5000 0.0000
0.8589 0.7154 0.7177
0.5000 0.0000 0.0000
0.6105 0.9294 0.2209
0.9659 0.1121 0.9317
0.3895 0.0706 0.7791
0.0341 0.8879 0.0683
```

Energy: -0.1204 Ry/atom
Space-group type: C2/m (12)
ρ: 4193 kg/m³



Record 7
VASP calculation (PBE) on a geometry-optimized CsLiTl3 structure.

Structure (POSCAR):
```
CsLiTl3
1.0
-4.7345 0.1883 -0.3486
-0.4811 -7.6108 2.4223
-0.5070 3.1596 8.5940
Cs Li Tl
2 2 6
Direct
0.7500 0.2503 0.0493
0.2500 0.7497 0.9507
0.2500 0.7533 0.5332
0.7500 0.2467 0.4668
0.2500 0.0450 0.3687
0.7500 0.9550 0.6313
0.7500 0.5560 0.6282
0.2500 0.4440 0.3718
0.2500 0.2599 0.7122
0.7500 0.7401 0.2878
```

Energy: -0.1553 Ry/atom
Space-group type: P2_1/m (11)
Energy above the most stable polymorph in this dataset: 0 meV per atom
ρ: 7179 kg/m³



Record 8
VASP calculation (PBE) on a geometry-optimized CsLiTl4 structure.

Structure (POSCAR):
```
CsLiTl4
1.0
6.6851 0.0000 0.0000
3.3426 5.7895 0.0000
3.3426 1.9298 5.4584
Cs Tl Li
1 4 1
Direct
0.2500 0.2500 0.2500
0.6262 0.6262 0.1213
0.6262 0.1213 0.6262
0.6262 0.6262 0.6262
0.1213 0.6262 0.6262
0.0000 0.0000 0.0000
```

Energy: -0.1489 Ry/atom
Space-group type: F-43m (216)
Energy above the most stable polymorph in this dataset: 102 meV per atom
ρ: 7525 kg/m³



Record 9
VASP calculation (PBE) on a geometry-optimized CsLiTl2 structure.

Structure (POSCAR):
```
CsLiTl2
1.0
3.7099 0.0000 0.0000
0.0000 3.7099 0.0000
0.0000 0.0000 9.3024
Cs Tl Li
1 2 1
Direct
0.5000 0.5000 0.5000
0.0000 0.0000 0.8233
0.0000 0.0000 0.1767
0.5000 0.5000 0.0000
```

Energy: -0.1439 Ry/atom
Space-group type: P4/mmm (123)
Energy above the most stable polymorph in this dataset: 52 meV per atom
ρ: 7115 kg/m³



Record 10
VASP calculation (PBE) on a geometry-optimized CsLiTl structure.

Structure (POSCAR):
```
CsLiTl
1.0
-0.5379 3.8728 1.1137
-3.9251 -0.2491 -1.0297
0.6567 -3.9023 6.4667
Cs Tl Li
1 1 1
Direct
0.9929 0.9929 0.9858
0.2824 0.2824 0.5648
0.7247 0.7247 0.4494
```

Energy: -0.1258 Ry/atom
Space-group type: I4mm (107)
Energy above the most stable polymorph in this dataset: 0 meV per atom
ρ: 4930 kg/m³



Record 11
VASP calculation (PBE) on a geometry-optimized Cs3Li2Tl9 structure.

Structure (POSCAR):
```
Cs3Li2Tl9
1.0
5.0081 0.0000 1.2696
2.2404 9.9812 1.6749
0.0379 0.2315 10.3631
Cs Li Tl
3 2 9
Direct
0.0000 0.0000 0.0000
0.7058 0.2942 0.2942
0.2942 0.7058 0.7058
0.5000 0.2956 0.7044
0.5000 0.7044 0.2956
0.0000 0.5000 0.5000
0.6795 0.9953 0.6458
0.3205 0.0047 0.3542
0.6795 0.6458 0.9953
0.3205 0.3542 0.0047
0.8890 0.8185 0.4035
0.1110 0.1815 0.5965
0.8890 0.4035 0.8185
0.1110 0.5965 0.1815
```

Energy: -0.1516 Ry/atom
Space-group type: Immm (71)
ρ: 7244 kg/m³



Record 12
VASP calculation (PBE) on a geometry-optimized Cs2LiTl7 structure.

Structure (POSCAR):
```
Cs2LiTl7
1.0
5.4087 0.0000 0.0000
0.0000 5.4087 0.0000
0.0000 0.0000 12.7451
Cs Li Tl
2 1 7
Direct
0.5000 0.0000 0.7512
0.0000 0.5000 0.2488
0.5000 0.5000 0.0000
0.0000 0.5000 0.8837
0.5000 0.0000 0.3636
0.5000 0.0000 0.1163
0.0000 0.5000 0.6364
0.0000 0.0000 0.5000
0.0000 0.0000 0.0000
0.5000 0.5000 0.5000
```

Energy: -0.1531 Ry/atom
Space-group type: P-4m2 (115)
ρ: 7587 kg/m³



Record 13
VASP calculation (PBE) on a geometry-optimized Cs2LiTl4 structure.

Structure (POSCAR):
```
Cs2LiTl4
1.0
-1.8768 5.0132 0.0415
-0.7493 -0.2367 -5.2952
-10.7566 -1.1595 -1.1320
Cs Tl Li
2 4 1
Direct
0.6629 0.6629 0.6742
0.3371 0.3371 0.3258
0.8725 0.8725 0.2549
0.1275 0.1275 0.7451
0.0000 0.5000 0.0000
0.5000 0.0000 0.0000
0.0000 0.0000 0.0000
```

Energy: -0.1382 Ry/atom
Space-group type: I4/mmm (139)
Energy above the most stable polymorph in this dataset: 58 meV per atom
ρ: 6195 kg/m³



Record 14
VASP calculation (PBE) on a geometry-optimized Cs2Li2Tl structure.

Structure (POSCAR):
```
Cs2Li2Tl
1.0
-3.7739 2.6046 6.7452
-3.9898 -7.0956 0.5076
4.8213 -2.4504 3.6437
Cs Tl Li
4 2 4
Direct
0.1801 0.6801 0.5000
0.6801 0.8199 0.5000
0.8199 0.3199 0.5000
0.3199 0.1801 0.5000
0.0000 0.0000 0.0000
0.5000 0.5000 0.0000
0.3319 0.8319 0.0000
0.8319 0.6681 0.0000
0.6681 0.1681 0.0000
0.1681 0.3319 0.0000
```

Energy: -0.1079 Ry/atom
Space-group type: P4/mbm (127)
ρ: 3706 kg/m³



Record 15
VASP calculation (PBE) on a geometry-optimized Cs3LiTl4 structure.

Structure (POSCAR):
```
Cs3LiTl4
1.0
7.3413 0.0000 0.0000
0.0000 6.7315 0.0000
0.0000 0.0000 15.2933
Cs Tl Li
6 8 2
Direct
0.5288 0.0000 0.0000
0.4712 0.5000 0.5000
0.8003 0.5000 0.7527
0.8003 0.5000 0.2473
0.1997 0.0000 0.7473
0.1997 0.0000 0.2527
0.3307 0.5000 0.8929
0.3307 0.5000 0.1071
0.0175 0.2386 0.0000
0.0175 0.7614 0.0000
0.9825 0.7386 0.5000
0.9825 0.2614 0.5000
0.6693 0.0000 0.3929
0.6693 0.0000 0.6071
0.6891 0.5000 0.0000
0.3109 0.0000 0.5000
```

Energy: -0.1303 Ry/atom
Space-group type: Pmmn (59)
ρ: 5375 kg/m³



Record 16
VASP calculation (PBE) on a geometry-optimized CsLiTl5 structure.

Structure (POSCAR):
```
CsLiTl5
1.0
4.7005 0.0000 0.0000
0.0000 4.7005 0.0000
0.0000 0.0000 11.2268
Cs Li Tl
1 1 5
Direct
0.0000 0.0000 0.5000
0.5000 0.5000 0.0000
0.0000 0.5000 0.2098
0.0000 0.5000 0.7902
0.5000 0.0000 0.2098
0.5000 0.0000 0.7902
0.0000 0.0000 0.0000
```

Energy: -0.1589 Ry/atom
Space-group type: P4/mmm (123)
ρ: 7777 kg/m³



Record 17
VASP calculation (PBE) on a geometry-optimized CsLiTl2 structure.

Structure (POSCAR):
```
CsLiTl2
1.0
-4.5615 -1.0530 1.9240
-3.4563 -2.3728 -2.8357
-0.2442 -7.4403 2.0064
Cs Tl Li
1 2 1
Direct
0.5000 0.5000 0.5000
0.3065 0.3065 0.0805
0.6935 0.6935 0.9195
0.0000 0.0000 0.0000
```

Energy: -0.1477 Ry/atom
Space-group type: R-3m (166)
Energy above the most stable polymorph in this dataset: 0 meV per atom
ρ: 5755 kg/m³



Record 18
VASP calculation (PBE) on a geometry-optimized CsLiTl structure.

Structure (POSCAR):
```
CsLiTl
1.0
4.9294 0.0000 0.0000
-2.4647 4.2690 0.0000
0.0000 0.0000 13.5145
Li Cs Tl
2 2 2
Direct
0.6667 0.3333 0.1220
0.3333 0.6667 0.8780
0.0000 0.0000 0.3132
0.0000 0.0000 0.6868
0.6667 0.3333 0.9193
0.3333 0.6667 0.0807
```

Energy: -0.1231 Ry/atom
Space-group type: P-3m1 (164)
Energy above the most stable polymorph in this dataset: 36 meV per atom
ρ: 4020 kg/m³



Record 19
VASP calculation (PBE) on a geometry-optimized CsLiTl2 structure.

Structure (POSCAR):
```
CsLiTl2
1.0
4.9750 0.0000 0.0000
0.0000 7.4778 0.0000
0.0000 0.0000 8.5036
Cs Li Tl
2 2 4
Direct
0.5000 0.9011 0.0000
0.0000 0.0989 0.5000
0.5000 0.5774 0.5000
0.0000 0.4226 0.0000
0.0000 0.6077 0.6892
0.5000 0.3923 0.8108
0.0000 0.6077 0.3108
0.5000 0.3923 0.1892
```

Energy: -0.1457 Ry/atom
Space-group type: Pmmn (59)
Energy above the most stable polymorph in this dataset: 27 meV per atom
ρ: 5759 kg/m³



Record 20
VASP calculation (PBE) on a geometry-optimized CsLiTl3 structure.

Structure (POSCAR):
```
CsLiTl3
1.0
6.5398 0.0001 -0.0002
-0.0001 7.6890 -0.0021
0.0003 -3.8466 6.6601
Cs Li Tl
2 2 6
Direct
0.7500 0.6668 0.3335
0.2500 0.3332 0.6666
0.0000 0.0000 0.0000
0.5000 0.0000 0.0000
0.7500 0.6381 0.8192
0.2500 0.8190 0.6382
0.2500 0.3619 0.1808
0.7500 0.1810 0.3618
0.2500 0.8189 0.1808
0.7500 0.1811 0.8192
```

Energy: -0.1458 Ry/atom
Space-group type: P6_3/mmc (194)
Energy above the most stable polymorph in this dataset: 129 meV per atom
ρ: 7468 kg/m³